Density functional theory data (GGA+U) for a geometry-optimized AlCrPtO6 structure.

uncorrected energy: -60.676 eV per formula unit
DOS at the Fermi energy: 2.19 states/eV/f.u.
V: 10.16 Å³ per atom

a b c (Å): 4.5002 4.5002 9.0305
angles (deg): 90.00 90.00 90.00
Closest atoms and distances in Å follow each position.
Positions (direct):
Al 0.5000 0.5000 0.8323  6 O 1.90-1.91
Al 0.0000 0.0000 0.3323  6 O 1.90-1.91
Cr 0.5000 0.5000 0.5011  6 O 1.94-1.95
Cr 0.0000 0.0000 0.0011  6 O 1.94-1.95
Pt 0.5000 0.5000 0.1663  6 O 1.97-2.00
Pt 0.0000 0.0000 0.6663  6 O 1.97-2.00
O 0.1960 0.8040 0.4931  1 Al 1.91, 1 Cr 1.94, 1 Pt 2.00
O 0.8040 0.1960 0.4931  1 Al 1.91, 1 Cr 1.94, 1 Pt 2.00
O 0.3040 0.3040 0.9931  1 Al 1.91, 1 Cr 1.94, 1 Pt 2.00
O 0.6960 0.6960 0.9931  1 Al 1.91, 1 Cr 1.94, 1 Pt 2.00
O 0.1900 0.8100 0.1694  1 Al 1.90, 1 Cr 1.94, 1 Pt 1.97
O 0.8100 0.1900 0.1694  1 Al 1.90, 1 Cr 1.94, 1 Pt 1.97
O 0.3100 0.3100 0.6694  1 Al 1.90, 1 Cr 1.94, 1 Pt 1.97
O 0.6900 0.6900 0.6694  1 Al 1.90, 1 Cr 1.94, 1 Pt 1.97
O 0.7999 0.2001 0.8377  1 Al 1.91, 1 Cr 1.95, 1 Pt 2.00
O 0.2001 0.7999 0.8377  1 Al 1.91, 1 Cr 1.95, 1 Pt 2.00
O 0.7001 0.7001 0.3377  1 Al 1.91, 1 Cr 1.95, 1 Pt 2.00
O 0.2999 0.2999 0.3377  1 Al 1.91, 1 Cr 1.95, 1 Pt 2.00